(1)
The following is a DFT calculation (PBE) of a geometry-optimized ZrTi3Sn structure.

Cell: 4.8371 4.8371 4.8371 Å, 90.00 90.00 90.00°
Space group Pm-3m (No. 221)
Symmetry-distinct sites (fractional):
Zr  0.0000  0.0000  0.0000
Ti  0.0000  0.0000  0.5000
Sn  0.5000  0.5000  0.5000

Calculated values
volume: 22.63 A^3/atom
formation energy from the elements: 0.96 eV/atom
final energy: -6.288 eV per atom
D(E_F): 5.069 states/eV per cell

---

(2)
The following is a DFT calculation (PBE) of a geometry-optimized MnZnSbTe2 structure.

Cell: 5.1336 5.1336 4.9255 Å, 90.00 90.00 90.00°
Space group P4/mmm (No. 123)
Symmetry-distinct sites (fractional):
Mn  0.0000  0.0000  0.0000
Zn  0.5000  0.5000  0.5000
Sb  0.0000  0.0000  0.5000
Te  0.0000  0.5000  0.0000

Calculated values
volume: 25.96 A^3/atom
final energy: -3.755 eV per atom
D(E_F): 4.126 states/eV per cell

---

(3)
The following is a DFT calculation (PBE) of a geometry-optimized Rb2ScGaP structure.

Cell: 6.9915 6.9915 5.0535 Å, 90.00 90.00 90.00°
Space group P4/mmm (No. 123)
Symmetry-distinct sites (fractional):
Rb  0.0000  0.5000  0.0000
Sc  0.0000  0.0000  0.0000
Ga  0.0000  0.0000  0.5000
P  0.5000  0.5000  0.5000

Calculated values
volume: 49.40 A^3/atom
formation energy from the elements: 0.96 eV/atom
final energy: -2.384 eV per atom
D(E_F): 4.882 states/eV per cell

---

(4)
The following is a DFT calculation (PBE) of a geometry-optimized RbCaBe2 structure.

Cell: 7.6139 7.6139 7.6139 Å, 90.00 90.00 90.00°
Space group Fm-3m (No. 225)
Symmetry-distinct sites (fractional):
Rb  0.0000  0.0000  0.0000
Ca  0.0000  0.0000  0.5000
Be  0.2500  0.2500  0.2500

Calculated values
volume: 27.59 A^3/atom
formation energy from the elements: 1.03 eV/atom
final energy: -1.578 eV per atom
D(E_F): 17.655 states/eV per cell

---

(5)
The following is a DFT calculation (PBE) of a geometry-optimized HoSbPtRh structure.

Cell: 6.7544 6.7544 6.7544 Å, 90.00 90.00 90.00°
Space group F-43m (No. 216)
Symmetry-distinct sites (fractional):
Ho  0.0000  0.0000  0.0000
Sb  0.0000  0.0000  0.5000
Pt  0.2500  0.2500  0.7500
Rh  0.2500  0.2500  0.2500

Calculated values
volume: 19.26 A^3/atom
final energy: -6.273 eV per atom
D(E_F): 10.321 states/eV per cell

---

(6)
The following is a DFT calculation (PBE) of a geometry-optimized Mg14GaFe structure.

Cell: 10.1311 6.2486 10.7066 Å, 90.00 90.00 90.00°
Space group Amm2 (No. 38)
Symmetry-distinct sites (fractional):
Mg  0.0000  0.0000  0.0000
Mg  0.0000  0.0000  0.4994
Mg  0.0000  0.2485  0.2464
Mg  0.2478  0.0000  0.8300
Mg  0.2554  0.0000  0.3331
Mg  0.2695  0.2454  0.5761
Mg  0.5000  0.2501  0.2576
Ga  0.5000  0.0000  0.9975
Fe  0.5000  0.0000  0.4995

Calculated values
volume: 21.18 A^3/atom
formation energy from the elements: 0.05 eV/atom
final energy: -2.064 eV per atom
D(E_F): 16.310 states/eV per cell

---

(7)
The following is a DFT calculation (PBE) of a geometry-optimized NaAl4Zn9 structure.

Cell: 8.9637 8.9637 12.0645 Å, 90.00 90.00 90.00°
Space group I4/mcm (No. 140)
Symmetry-distinct sites (fractional):
Na  0.0000  0.0000  0.2500
Al  0.1820  0.3180  0.1205
Zn  0.0000  0.5000  0.0000
Zn  0.0524  0.1977  0.5000
Zn  0.1181  0.3819  0.3238

Calculated values
volume: 17.31 A^3/atom
formation energy from the elements: 0.00 eV/atom
final energy: -1.981 eV per atom
D(E_F): 10.152 states/eV per cell

---

(8)
The following is a DFT calculation (PBE) of a geometry-optimized LiU2Br8 structure.

Cell: 13.0653 9.5602 7.6356 Å, 90.00 116.05 90.00°
Space group C2/m (No. 12)
Symmetry-distinct sites (fractional):
Li  0.0000  0.0000  0.0000
U  0.0999  0.0000  0.5284
Br  0.0453  0.1972  0.7603
Br  0.1877  0.5000  0.1856
Br  0.2073  0.0000  0.2862

Calculated values
volume: 38.95 A^3/atom
final energy: -4.661 eV per atom
D(E_F): 2.792 states/eV per cell

---

(9)
The following is a DFT calculation (PBE) of a geometry-optimized K2Np2RuS6 structure.

Cell: 6.5177 11.0843 8.0267 Å, 90.00 106.13 90.00°
Space group C2/m (No. 12)
Symmetry-distinct sites (fractional):
K  0.0000  0.1728  0.0000
Np  0.0000  0.3330  0.5000
Ru  0.0000  0.0000  0.5000
S  0.2227  0.1540  0.6930
S  0.2398  0.0000  0.3073

Calculated values
volume: 25.32 A^3/atom
final energy: -6.765 eV per atom
D(E_F): 39.300 states/eV per cell

---

(10)
The following is a DFT calculation (PBE) of a geometry-optimized MnAgSe2 structure.

Cell: 8.0319 11.6538 5.5177 Å, 90.00 132.25 90.00°
Space group C2/c (No. 15)
Symmetry-distinct sites (fractional):
Mn  0.0000  0.0011  0.2500
Ag  0.0000  0.4880  0.2500
Se  0.1929  0.1308  0.1863

Calculated values
volume: 23.90 A^3/atom
final energy: -4.954 eV per atom
D(E_F): 6.914 states/eV per cell